(1)
Compound: Ti2SbRuO
Source: the Alexandria database
Functional: PBE
Structure: optimized geometry

Summary:
Formation energy without anion corrections, eV/atom: -0.1945
Theoretical density, g/cm3: 6.1
Magnetic moment, μB/atom: 0.000

POSCAR file:
```
Ti2SbRuO
1.0
4.9039 0.0000 0.0000
0.0000 4.9039 0.0000
0.0000 0.0000 3.7579
Ti Sb Ru O
2 1 1 1
direct
0.0000 0.5000 0.0000
0.5000 0.0000 0.0000
0.0000 0.0000 0.5000
0.5000 0.5000 0.0000
0.5000 0.5000 0.5000
```

(2)
Compound: TlSbRu2O8
Source: the Alexandria database
Functional: PBE
Structure: optimized geometry

Summary:
Formation energy without anion corrections, eV/atom: -0.8307
Theoretical density, g/cm3: 6.1
Magnetic moment, μB/atom: 0.127

POSCAR file:
```
TlSbRu2O8
1.0
4.1432 -3.0908 0.0000
4.1432 3.0908 0.0000
-2.4707 0.0000 6.9744
Tl Sb Ru O
1 1 2 8
direct
0.0000 0.0000 0.0000
0.0000 0.0000 0.5000
0.4534 0.4534 0.7705
0.5466 0.5466 0.2295
0.2015 0.7145 0.2838
0.2519 0.2519 0.5437
0.2855 0.7985 0.7162
0.3471 0.3471 0.9498
0.6529 0.6529 0.0502
0.7145 0.2015 0.2838
0.7481 0.7481 0.4563
0.7985 0.2855 0.7162
```

(3)
Compound: TlSbRuO6
Source: the Alexandria database
Functional: PBE
Structure: optimized geometry

Summary:
Formation energy without anion corrections, eV/atom: -1.0259
Theoretical density, g/cm3: 7.2
Magnetic moment, μB/atom: 0.226

POSCAR file:
```
TlSbRuO6
1.0
5.3306 0.0000 0.0000
-2.6653 4.6164 0.0000
0.0000 0.0000 4.9028
Tl Sb Ru O
1 1 1 6
direct
0.0000 0.0000 0.0000
0.6667 0.3333 0.5000
0.3333 0.6667 0.5000
0.0051 0.3735 0.7235
0.0051 0.6317 0.2765
0.3683 0.3735 0.2765
0.3683 0.9949 0.7235
0.6265 0.6317 0.7235
0.6265 0.9949 0.2765
```

(4)
Compound: ZnSbRuO6
Source: the Alexandria database
Functional: PBE
Structure: optimized geometry

Summary:
Formation energy without anion corrections, eV/atom: -1.1481
Theoretical density, g/cm3: 6.2
Magnetic moment, μB/atom: 0.156

POSCAR file:
```
ZnSbRuO6
1.0
4.6679 0.0000 0.0000
0.0000 4.6679 0.0000
0.0000 0.0000 9.4625
Zn Sb Ru O
2 2 2 12
direct
0.0000 0.0000 0.0000
0.5000 0.5000 0.5000
0.0000 0.0000 0.3333
0.5000 0.5000 0.8333
0.0000 0.0000 0.6656
0.5000 0.5000 0.1656
0.1891 0.1891 0.5056
0.1956 0.1956 0.8280
0.2057 0.2057 0.1720
0.2943 0.7057 0.6720
0.3044 0.6956 0.3280
0.3109 0.6891 0.0056
0.6891 0.3109 0.0056
0.6956 0.3044 0.3280
0.7057 0.2943 0.6720
0.7943 0.7943 0.1720
0.8044 0.8044 0.8280
0.8109 0.8109 0.5056
```

(5)
Compound: ZrSb2RuO
Source: the Alexandria database
Functional: PBE
Structure: optimized geometry

Summary:
Formation energy without anion corrections, eV/atom: 0.5400
Theoretical density, g/cm3: 6.0
Magnetic moment, μB/atom: 0.000

POSCAR file:
```
ZrSb2RuO
1.0
4.9605 0.0000 0.0000
0.0000 4.9605 0.0000
0.0000 0.0000 5.0564
Zr Sb Ru O
1 2 1 1
direct
0.0000 0.0000 0.0000
0.0000 0.5000 0.5000
0.5000 0.0000 0.5000
0.0000 0.0000 0.5000
0.5000 0.5000 0.0000
```

(6)
Compound: Sc3RuO
Source: the Alexandria database
Functional: PBE
Structure: optimized geometry

Summary:
Formation energy without anion corrections, eV/atom: 0.1107
Theoretical density, g/cm3: 3.5
Offset from the most stable computed form, meV/atom: 1455
Magnetic moment, μB/atom: 0.000

POSCAR file:
```
Sc3RuO
1.0
4.9309 0.0000 0.0000
0.0000 4.9309 0.0000
0.0000 0.0000 4.9309
Sc Ru O
3 1 1
direct
0.0000 0.0000 0.5000
0.0000 0.5000 0.0000
0.5000 0.0000 0.0000
0.0000 0.0000 0.0000
0.5000 0.5000 0.5000
```

(7)
Compound: ScRuO3
Source: the Alexandria database
Functional: PBE
Structure: optimized geometry

Summary:
Formation energy without anion corrections, eV/atom: -1.0023
Theoretical density, g/cm3: 5.0
Magnetic moment, μB/atom: 1.000

POSCAR file:
```
ScRuO3
1.0
3.9988 0.0000 0.0000
0.0000 3.9988 0.0000
0.0000 0.0000 3.9988
Sc Ru O
1 1 3
direct
0.0000 0.0000 0.0000
0.5000 0.5000 0.5000
0.0000 0.0000 0.5000
0.0000 0.5000 0.0000
0.5000 0.0000 0.0000
```

(8)
Compound: ScRu3O
Source: the Alexandria database
Functional: PBE
Structure: optimized geometry

Summary:
Formation energy without anion corrections, eV/atom: -0.1978
Theoretical density, g/cm3: 8.7
Offset from the most stable computed form, meV/atom: 0
Magnetic moment, μB/atom: 0.000

POSCAR file:
```
ScRu3O
1.0
4.1102 0.0000 0.0000
0.0000 4.1102 0.0000
0.0000 0.0000 4.1102
Sc Ru O
1 3 1
direct
0.0000 0.0000 0.0000
0.0000 0.5000 0.5000
0.5000 0.0000 0.5000
0.5000 0.5000 0.0000
0.5000 0.5000 0.5000
```

(9)
Compound: Sc6RuO12
Source: the Alexandria database
Functional: PBE
Structure: optimized geometry

Summary:
Formation energy without anion corrections, eV/atom: -2.9311
Theoretical density, g/cm3: 4.2
Magnetic moment, μB/atom: 0.105

POSCAR file:
```
Sc6RuO12
1.0
4.6532 2.6865 2.9334
-4.6532 2.6865 2.9334
0.0000 -5.3731 2.9334
Sc Ru O
6 1 12
direct
0.1097 0.6441 0.8269
0.1731 0.8903 0.3559
0.3559 0.1731 0.8903
0.6441 0.8269 0.1097
0.8269 0.1097 0.6441
0.8903 0.3559 0.1731
0.5000 0.5000 0.5000
0.0804 0.3220 0.9130
0.0869 0.9196 0.6780
0.1937 0.5430 0.4038
0.3220 0.9131 0.0804
0.4038 0.1937 0.5430
0.4570 0.5962 0.8063
0.5430 0.4038 0.1937
0.5962 0.8063 0.4570
0.6780 0.0869 0.9196
0.8063 0.4570 0.5962
0.9130 0.0804 0.3220
0.9196 0.6780 0.0869
```

(10)
Compound: Sc3RuO
Source: the Alexandria database
Functional: PBE
Structure: optimized geometry

Summary:
Formation energy without anion corrections, eV/atom: -1.3442
Theoretical density, g/cm3: 5.2
Offset from the most stable computed form, meV/atom: 0
Magnetic moment, μB/atom: 0.000

POSCAR file:
```
Sc3RuO
1.0
4.3280 0.0000 0.0000
0.0000 4.3280 0.0000
0.0000 0.0000 4.3280
Sc Ru O
3 1 1
direct
0.0000 0.0000 0.5000
0.0000 0.5000 0.0000
0.5000 0.0000 0.0000
0.5000 0.5000 0.5000
0.0000 0.0000 0.0000
```

(11)
Compound: ScRu2O
Source: the Alexandria database
Functional: PBE
Structure: optimized geometry

Summary:
Formation energy without anion corrections, eV/atom: -0.3851
Theoretical density, g/cm3: 7.8
Magnetic moment, μB/atom: 0.000

POSCAR file:
```
ScRu2O
1.0
-3.5598 3.5598 2.2207
3.5598 -3.5598 2.2207
3.5598 3.5598 -2.2207
Sc Ru O
2 4 2
direct
0.0000 0.0000 0.0000
0.7500 0.2500 0.5000
0.2302 0.6250 0.1052
0.3750 0.4802 0.6052
0.5198 0.1250 0.8948
0.8750 0.7698 0.3948
0.2500 0.7500 0.5000
0.5000 0.5000 0.0000
```

(12)
Compound: Sc4RuO
Source: the Alexandria database
Functional: PBE
Structure: optimized geometry

Summary:
Formation energy without anion corrections, eV/atom: -1.1607
Theoretical density, g/cm3: 4.7
Magnetic moment, μB/atom: 0.000

POSCAR file:
```
Sc4RuO
1.0
2.2325 -7.8012 0.0000
2.2325 7.8012 0.0000
0.0000 0.0000 6.0325
Sc Ru O
8 2 2
direct
0.0268 0.9732 0.5000
0.1666 0.8334 0.8711
0.2143 0.7857 0.3794
0.4098 0.5902 0.6784
0.5902 0.4098 0.1784
0.7857 0.2143 0.8794
0.8334 0.1666 0.3711
0.9732 0.0268 0.0000
0.3872 0.6128 0.1720
0.6128 0.3872 0.6720
0.0944 0.9056 0.1812
0.9056 0.0944 0.6812
```

(13)
Compound: ScRuO3
Source: the Alexandria database
Functional: PBE
Structure: optimized geometry

Summary:
Formation energy without anion corrections, eV/atom: -1.3011
Theoretical density, g/cm3: 5.6
Magnetic moment, μB/atom: 0.150

POSCAR file:
```
ScRuO3
1.0
3.8587 0.0000 0.0000
0.0000 3.8587 0.0000
0.0000 0.0000 3.8587
Sc Ru O
1 1 3
direct
0.0000 0.0000 0.0000
0.5000 0.5000 0.5000
0.0000 0.5000 0.5000
0.5000 0.0000 0.5000
0.5000 0.5000 0.0000
```